DFT (GGA+U) results for a geometry-optimized TiCoOF2 structure.

Properties
Calculated volume   58.5 Å³ per cell
E_tot   -5.561 eV/atom
Energy relative to the lowest polymorph listed for this composition   3.40 eV/f.u.

Cell lengths 3.9265, 3.9265, 3.7962 Å; angles 90.00, 90.00, 90.00 degrees
Closest atoms and distances in Å follow each position.
Positions (direct):
F 0.0000 0.5000 0.0000  2 Co 1.96
F 0.5000 0.0000 0.0000  2 Co 1.96
Co 0.0000 0.0000 0.0000  2 O 1.90, 4 F 1.96
O 0.0000 0.0000 0.5000  2 Co 1.90
Ti 0.5000 0.5000 0.5000  8 F 2.73, 4 O 2.78